Record 1
Compound: Sm2DyTm3Sb6
Source: Alexandria
Functional: PBE
Structure: relaxed

formation energy without anion corrections: -1.112 eV per atom
space group: C2/m (12)
uncorrected energy: -5.46 eV per atom

Unit cell a=9.812 b=9.812 c=8.777 alpha=102.83 beta=102.83 gamma=25.86
Positions (direct):
Sm: 0.166 0.166 0.333
Sm: 0.834 0.834 0.667
Dy: 0.500 0.500 0.000
Tm: 0.167 0.167 0.834
Tm: 0.500 0.500 0.500
Tm: 0.833 0.833 0.166
Sb: 0.003 0.003 0.749
Sb: 0.333 0.333 0.923
Sb: 0.335 0.335 0.412
Sb: 0.665 0.665 0.588
Sb: 0.667 0.667 0.077
Sb: 0.997 0.997 0.251

---

Record 2
Compound: SmDyTm2Sb4
Source: Alexandria
Functional: PBE
Structure: relaxed

formation energy without anion corrections: -1.108 eV per atom
space group: P2/m (10)
uncorrected energy: -5.45 eV per atom

Unit cell a=7.589 b=4.387 c=7.591 alpha=90.00 beta=109.48 gamma=90.00
Positions (direct):
Sm: 0.000 0.000 0.000
Dy: 0.000 0.500 0.500
Tm: 0.500 0.000 0.500
Tm: 0.500 0.500 0.000
Sb: 0.255 0.000 0.749
Sb: 0.257 0.500 0.255
Sb: 0.743 0.500 0.745
Sb: 0.745 0.000 0.251

---

Record 3
Compound: SmDy2TmSb4
Source: Alexandria
Functional: PBE
Structure: relaxed

formation energy without anion corrections: -1.123 eV per atom
space group: P2/m (10)
uncorrected energy: -5.48 eV per atom

Unit cell a=7.610 b=4.398 c=7.613 alpha=90.00 beta=109.48 gamma=90.00
Positions (direct):
Sm: 0.000 0.000 0.000
Dy: 0.000 0.500 0.500
Dy: 0.500 0.000 0.500
Tm: 0.500 0.500 0.000
Sb: 0.254 0.000 0.750
Sb: 0.255 0.500 0.253
Sb: 0.745 0.500 0.747
Sb: 0.746 0.000 0.250

---

Record 4
Compound: SmDy2Tm3Sb6
Source: Alexandria
Functional: PBE
Structure: relaxed

formation energy without anion corrections: -1.106 eV per atom
space group: C2/m (12)
uncorrected energy: -5.44 eV per atom

Unit cell a=9.780 b=9.780 c=8.749 alpha=102.84 beta=102.84 gamma=25.85
Positions (direct):
Sm: 0.000 0.000 0.000
Dy: 0.333 0.333 0.667
Dy: 0.667 0.667 0.333
Tm: 0.000 0.000 0.500
Tm: 0.334 0.334 0.167
Tm: 0.666 0.666 0.833
Sb: 0.166 0.166 0.585
Sb: 0.169 0.169 0.082
Sb: 0.500 0.500 0.256
Sb: 0.500 0.500 0.744
Sb: 0.831 0.831 0.918
Sb: 0.834 0.834 0.415

---

Record 5
Compound: Sm2DyTmSb4
Source: Alexandria
Functional: PBE
Structure: relaxed

formation energy without anion corrections: -1.136 eV per atom
space group: P2/m (10)
uncorrected energy: -5.51 eV per atom

Unit cell a=7.647 b=4.420 c=7.650 alpha=90.00 beta=109.49 gamma=90.00
Positions (direct):
Sm: 0.000 0.000 0.000
Sm: 0.000 0.500 0.500
Dy: 0.500 0.000 0.500
Tm: 0.500 0.500 0.000
Sb: 0.257 0.500 0.251
Sb: 0.258 0.000 0.754
Sb: 0.742 0.000 0.246
Sb: 0.743 0.500 0.749

---

Record 6
Compound: SmDy2USb4
Source: Alexandria
Functional: PBE
Structure: relaxed

formation energy without anion corrections: -0.898 eV per atom
space group: F222 (22)
uncorrected energy: -6.11 eV per atom

Unit cell a=7.633 b=7.617 c=6.231 alpha=66.02 beta=65.75 gamma=48.23
Positions (direct):
Sm: 0.000 0.000 0.000
Dy: 0.250 0.250 0.250
Dy: 0.500 0.500 0.500
U: 0.750 0.750 0.750
Sb: 0.252 0.252 0.748
Sb: 0.502 0.502 0.998
Sb: 0.748 0.748 0.252
Sb: 0.998 0.998 0.502

---

Record 7
Compound: Dy5Sn2Sb2
Source: Alexandria
Functional: PBE
Structure: relaxed

formation energy without anion corrections: -0.911 eV per atom
space group: Cmce (64)
offset from the most stable computed form: 0.000 eV/atom
uncorrected energy: -5.27 eV per atom

Unit cell a=8.714 b=8.714 c=8.160 alpha=90.00 beta=90.00 gamma=55.57
Positions (direct):
Dy: 0.000 0.000 0.000
Dy: 0.031 0.698 0.664
Dy: 0.198 0.531 0.164
Dy: 0.302 0.969 0.664
Dy: 0.469 0.802 0.164
Dy: 0.500 0.500 0.500
Dy: 0.531 0.198 0.836
Dy: 0.698 0.031 0.336
Dy: 0.802 0.469 0.836
Dy: 0.969 0.302 0.336
Sn: 0.136 0.864 0.364
Sn: 0.364 0.636 0.864
Sn: 0.636 0.364 0.136
Sn: 0.864 0.136 0.636
Sb: 0.203 0.203 0.000
Sb: 0.297 0.297 0.500
Sb: 0.703 0.703 0.500
Sb: 0.797 0.797 0.000

---

Record 8
Compound: Dy7Sn5Sb
Source: Alexandria
Functional: PBE
Structure: relaxed

formation energy without anion corrections: -0.513 eV per atom
space group: Imm2 (44)
uncorrected energy: -4.85 eV per atom

Unit cell a=8.331 b=8.331 c=8.331 alpha=136.33 beta=94.84 gamma=101.08
Positions (direct):
Dy: 0.000 0.000 0.000
Dy: 0.289 0.620 0.669
Dy: 0.406 0.406 0.000
Dy: 0.445 0.107 0.338
Dy: 0.768 0.107 0.662
Dy: 0.857 0.357 0.500
Dy: 0.950 0.620 0.331
Sn: 0.111 0.117 0.496
Sn: 0.111 0.615 0.994
Sn: 0.359 0.859 0.500
Sn: 0.621 0.117 0.006
Sn: 0.621 0.615 0.504
Sb: 0.690 0.690 0.000